Entry 1:
First-principles (PBE) data for Ba2TmRu3O12 after structural relaxation, as listed in the Alexandria database.

Output
As for the total energy: -124.9 eV per cell. For the volume, the calculation gives 14.76 Å³ per atom. Its total magnetic moment is 0.0 μB/f.u. Its calculated density is 5868 kg/m³.

Geometry as POSCAR:
```
Ba2TmRu3O12
1.0
3.6425 2.1030 5.7801
-3.6425 2.1030 5.7801
0.0000 -4.2060 5.7801
Ba Tm Ru O
2 1 3 12
direct
0.1290 0.1290 0.1290 Ba
0.8710 0.8710 0.8710 Ba
0.5000 0.5000 0.5000 Tm
0.0000 0.5000 0.5000 Ru
0.5000 0.0000 0.5000 Ru
0.5000 0.5000 0.0000 Ru
0.1194 0.6087 0.6087 O
0.2042 0.2042 0.5877 O
0.2042 0.5877 0.2042 O
0.3913 0.3913 0.8806 O
0.3913 0.8806 0.3913 O
0.4123 0.7958 0.7958 O
0.5877 0.2042 0.2042 O
0.6087 0.1194 0.6087 O
0.6087 0.6087 0.1194 O
0.7958 0.4123 0.7958 O
0.7958 0.7958 0.4123 O
0.8806 0.3913 0.3913 O
```

Entry 2:
First-principles (PBE) data for Ba3TmRu2O9 after structural relaxation, as listed in the Alexandria database.

Output
For the volume, the calculation gives 14.74 Å³ per atom. Its total magnetic moment is 3.0 μB/f.u. For the excess energy over the best structure of this formula in the dataset, the calculation gives 0 meV/atom. Its calculated density is 6964 kg/m³.

Geometry as POSCAR:
```
Ba3TmRu2O9
1.0
5.9327 0.0000 0.0000
-2.9663 5.1379 0.0000
0.0000 0.0000 14.5043
Ba Tm Ru O
6 2 4 18
direct
0.0000 0.0000 0.2500 Ba
0.0000 0.0000 0.7500 Ba
0.3333 0.6667 0.0928 Ba
0.3333 0.6667 0.4072 Ba
0.6667 0.3333 0.5928 Ba
0.6667 0.3333 0.9072 Ba
0.0000 0.0000 0.0000 Tm
0.0000 0.0000 0.5000 Tm
0.3333 0.6667 0.6638 Ru
0.3333 0.6667 0.8362 Ru
0.6667 0.3333 0.1638 Ru
0.6667 0.3333 0.3362 Ru
0.0193 0.5096 0.7500 O
0.1750 0.3499 0.5869 O
0.1750 0.3499 0.9131 O
0.1750 0.8250 0.5869 O
0.1750 0.8250 0.9131 O
0.3499 0.1750 0.0869 O
0.3499 0.1750 0.4131 O
0.4904 0.5096 0.7500 O
0.4904 0.9807 0.7500 O
0.5096 0.0193 0.2500 O
0.5096 0.4904 0.2500 O
0.6501 0.8250 0.5869 O
0.6501 0.8250 0.9131 O
0.8250 0.1750 0.0869 O
0.8250 0.1750 0.4131 O
0.8250 0.6501 0.0869 O
0.8250 0.6501 0.4131 O
0.9807 0.4904 0.2500 O
```

Entry 3:
First-principles (PBE) data for BaURuO6 after structural relaxation, as listed in the Alexandria database.

Output
As for the total energy: -146.0 eV per cell. For the volume, the calculation gives 16.80 Å³ per atom. Its total magnetic moment is 0.4 μB/f.u. Its calculated density is 6287 kg/m³.

Geometry as POSCAR:
```
BaURuO6
1.0
-3.5858 3.9428 5.3470
3.5858 -3.9428 5.3470
3.5858 3.9428 -5.3470
Ba U Ru O
2 2 2 12
direct
0.2923 0.0423 0.2500 Ba
0.7077 0.9577 0.7500 Ba
0.0000 0.5000 0.5000 U
0.5000 0.5000 0.0000 U
0.0000 0.0000 0.5000 Ru
0.0000 0.5000 0.0000 Ru
0.0268 0.7768 0.2500 O
0.0413 0.3861 0.2032 O
0.0413 0.8380 0.6552 O
0.3172 0.1620 0.7032 O
0.3172 0.6139 0.1552 O
0.3292 0.5792 0.7500 O
0.6708 0.4208 0.2500 O
0.6828 0.3861 0.8448 O
0.6828 0.8380 0.2968 O
0.9587 0.1620 0.3448 O
0.9587 0.6139 0.7968 O
0.9732 0.2232 0.7500 O
```

Entry 4:
First-principles (PBE) data for Ba2URu3O12 after structural relaxation, as listed in the Alexandria database.

Output
As for the total energy: -135.2 eV per cell. For the volume, the calculation gives 15.17 Å³ per atom. Its total magnetic moment is 0.0 μB/f.u. Its calculated density is 6129 kg/m³.

Geometry as POSCAR:
```
Ba2URu3O12
1.0
3.6025 2.0799 6.0737
-3.6025 2.0799 6.0737
0.0000 -4.1598 6.0737
Ba U Ru O
2 1 3 12
direct
0.1244 0.1244 0.1244 Ba
0.8756 0.8756 0.8756 Ba
0.5000 0.5000 0.5000 U
0.0000 0.5000 0.5000 Ru
0.5000 0.0000 0.5000 Ru
0.5000 0.5000 0.0000 Ru
0.1478 0.5926 0.5926 O
0.1943 0.1943 0.5830 O
0.1943 0.5830 0.1943 O
0.4074 0.4074 0.8522 O
0.4074 0.8522 0.4074 O
0.4170 0.8057 0.8057 O
0.5830 0.1943 0.1943 O
0.5926 0.1478 0.5926 O
0.5926 0.5926 0.1478 O
0.8057 0.4170 0.8057 O
0.8057 0.8057 0.4170 O
0.8522 0.4074 0.4074 O
```

Question: Among the records above, which one has the highest volume?
Answer: BaURuO6